Crystalline Si2W2C at its relaxed geometry, computed with PBE.

Properties
Raw formation energy   1047 meV/atom
E_tot   -8.15 eV per atom
Symmetry   No. 127
Distance to the lowest polymorph of the same formula   0.0 kJ per mole of atoms

abc: 6.2981 6.2981 3.4075
angles: 90.00 90.00 90.00
With the nearest neighbours (Å) after each atom.
Positions (direct):
Si 0.1346 0.3654 0.0000  1 Si 2.40, 6 W 2.44-2.57, 2 C 2.45
Si 0.3654 0.8654 0.0000  1 Si 2.40, 6 W 2.44-2.57, 2 C 2.45
Si 0.6346 0.1346 0.0000  1 Si 2.40, 6 W 2.44-2.57, 2 C 2.45
Si 0.8654 0.6346 0.0000  1 Si 2.40, 6 W 2.44-2.57, 2 C 2.45
W 0.1690 0.6690 0.5000  6 Si 2.44-2.57
W 0.3310 0.1690 0.5000  6 Si 2.44-2.57
W 0.6690 0.8310 0.5000  6 Si 2.44-2.57
W 0.8310 0.3310 0.5000  6 Si 2.44-2.57
C 0.0000 0.0000 0.0000  4 Si 2.45
C 0.5000 0.5000 0.0000  4 Si 2.45